No. 1
{
  "formula": "TbPr2Sn9",
  "functional": "PBE",
  "state": "optimized geometry",
  "e_form_ev_per_atom": -0.482,
  "spacegroup": "P4/mmm (123)",
  "final_energy_ev_per_atom": -4.67,
  "cell": [[-4.656, -0.777, -0.558], [0.829, -1.897, -4.279], [1.446, -13.006, 6.046]],
  "species": ["Tb", "Pr", "Pr", "Sn", "Sn", "Sn", "Sn", "Sn", "Sn", "Sn", "Sn", "Sn"],
  "fractional_positions": [[0.000, 0.000, 0.000], [0.000, 0.000, 0.331], [0.000, 0.000, 0.669], [0.500, 0.500, 0.000], [0.500, 0.500, 0.331], [0.500, 0.500, 0.669], [0.500, 0.000, 0.162], [0.500, 0.000, 0.500], [0.500, 0.000, 0.838], [0.000, 0.500, 0.162], [0.000, 0.500, 0.500], [0.000, 0.500, 0.838]]
}

=====

No. 2
{
  "formula": "Ho2ZnNi9",
  "functional": "PBE",
  "state": "optimized geometry",
  "e_form_ev_per_atom": -0.225,
  "spacegroup": "R-3m (166)",
  "final_energy_ev_per_atom": -5.43,
  "cell": [[-2.176, 1.723, 4.023], [2.294, -0.231, 4.309], [3.274, 7.702, 1.442]],
  "species": ["Ho", "Ho", "Zn", "Ni", "Ni", "Ni", "Ni", "Ni", "Ni", "Ni", "Ni", "Ni"],
  "fractional_positions": [[0.865, 0.865, 0.404], [0.135, 0.135, 0.596], [0.000, 0.000, 0.000], [0.667, 0.667, 0.999], [0.333, 0.333, 0.001], [0.500, 0.500, 0.500], [0.418, 0.418, 0.245], [0.920, 0.418, 0.245], [0.418, 0.920, 0.245], [0.582, 0.582, 0.755], [0.582, 0.080, 0.755], [0.080, 0.582, 0.755]]
}

=====

No. 3
{
  "formula": "LiSi2Rh",
  "functional": "PBE",
  "state": "optimized geometry",
  "e_form_raw_ev_per_atom": -0.31,
  "spacegroup": "C2/m (12)",
  "final_energy_ev_per_atom": -5.33,
  "cell": [[5.754, 0.001, 0.002], [-2.193, 3.914, -0.011], [1.367, 0.761, 2.309]],
  "species": ["Li", "Rh", "Si", "Si"],
  "fractional_positions": [[0.000, 0.500, 0.500], [0.500, 0.500, 0.000], [0.000, 0.000, 0.000], [0.500, 0.000, 0.500]]
}

=====

No. 4
{
  "formula": "Cd2TeI2",
  "functional": "PBE",
  "state": "optimized geometry",
  "e_form_raw_ev_per_atom": -0.38,
  "spacegroup": "C2/m (12)",
  "final_energy_ev_per_atom": -1.99,
  "cell": [[7.379, 0.000, 0.000], [-3.690, 6.966, 0.033], [0.000, -3.693, 8.503]],
  "species": ["Cd", "Cd", "Cd", "Cd", "Te", "Te", "I", "I", "I", "I"],
  "fractional_positions": [[0.150, 0.300, 0.656], [0.850, 0.700, 0.344], [0.563, 0.127, 0.336], [0.437, 0.873, 0.664], [0.347, 0.694, 0.873], [0.653, 0.306, 0.127], [0.647, 0.294, 0.677], [0.353, 0.706, 0.323], [0.950, 0.900, 0.683], [0.050, 0.100, 0.317]]
}

=====

No. 5
{
  "formula": "K2NaUBr6",
  "functional": "PBE",
  "state": "optimized geometry",
  "e_form_raw_ev_per_atom": -1.54,
  "spacegroup": "P2_1/c (14)",
  "final_energy_ev_per_atom": -4.02,
  "cell": [[7.766, 0.000, -0.076], [0.000, 8.222, 0.000], [-0.041, 0.000, 11.223]],
  "species": ["K", "K", "K", "K", "Na", "Na", "U", "U", "Br", "Br", "Br", "Br", "Br", "Br", "Br", "Br", "Br", "Br", "Br", "Br"],
  "fractional_positions": [[0.028, 0.922, 0.247], [0.528, 0.578, 0.747], [0.972, 0.078, 0.753], [0.472, 0.422, 0.253], [0.500, 0.000, 0.500], [0.000, 0.500, 0.000], [0.500, 0.000, 0.000], [0.000, 0.500, 0.500], [0.314, 0.703, 0.060], [0.814, 0.797, 0.560], [0.686, 0.297, 0.940], [0.186, 0.203, 0.440], [0.303, 0.693, 0.443], [0.803, 0.807, 0.943], [0.697, 0.307, 0.557], [0.197, 0.193, 0.057], [0.884, 0.537, 0.253], [0.384, 0.963, 0.753], [0.116, 0.463, 0.747], [0.616, 0.037, 0.247]]
}